# Np2VO8

A geometry-optimized Np2VO8 structure (GGA+U, the Alexandria database).

The calculated volume is 13.746 Å³ per atom. As for the total magnetic moment: 3.00 μB per formula unit. The total energy is -8.933 eV/atom.

It has space group C2/m (No. 12), with a = 11.4747 Å, b = 5.5439 Å, c = 5.1364 Å, α = 90.00°, β = 112.26° and γ = 90.00°. The asymmetric unit holds Np at (0.2331, 0.0000, 0.2672), V at (0.0000, 0.0000, 0.5000), O at (0.0840, 0.0000, 0.8813), O at (0.1333, 0.2259, 0.4585) and O at (0.1743, 0.5000, 0.9602).